A geometry-optimized LiInW structure, computed with GGA-PBE.

Computed properties:
The calculation puts the formation energy at 0.57 eV per atom. The value obtained for the polymorph energy (0 for the lowest one) is 0.155 eV/atom. Its space group is Imm2 (44).

```
LiInW
1.0
-4.4460 -0.8823 -2.9194
-0.5404 -0.5812 -5.3328
2.2918 -1.5006 4.6437
In Li W
1 1 1
direct
0.9874 0.9874 0.0000
0.3383 0.3383 0.0000
0.6743 0.6743 0.0000
```

---

A geometry-optimized LiInW2 structure, computed with GGA-PBE.

Computed properties:
The calculation puts the formation energy at 0.34 eV per atom. Its space group is Pm (6).

```
LiInW2
1.0
-0.8043 3.2408 2.6879
-1.6128 -1.6813 1.5446
3.7701 -2.2187 3.8033
In Li W
1 1 2
direct
0.0000 0.5650 0.5169
0.5000 0.7486 0.7574
0.0000 0.9922 0.0041
0.5000 0.1942 0.2216
```

---

A geometry-optimized LiInW2 structure, computed with GGA-PBE.

Computed properties:
The calculation puts the formation energy at 0.39 eV per atom. Its space group is Immm (71).

```
LiInW2
1.0
5.3810 -0.0110 0.0043
4.3532 3.1631 0.0043
1.6547 0.5358 3.8523
In Li W
1 1 2
direct
0.2500 0.2500 0.2500
0.7500 0.7500 0.7500
0.0055 0.0055 0.9946
0.4945 0.4945 0.5054
```

---

A geometry-optimized LiInW2 structure, computed with GGA-PBE.

Computed properties:
The calculation puts the formation energy at 0.55 eV per atom. Its space group is Cmmm (65).

```
LiInW2
1.0
5.3247 0.0030 0.0000
-2.6620 4.6115 0.0000
0.0000 0.0000 2.7444
In Li W
1 1 2
direct
0.5000 0.0000 0.5000
0.0000 0.5000 0.5000
0.0000 0.0000 0.0000
0.5000 0.5000 0.0000
```

---

A geometry-optimized LiInW2 structure, computed with GGA-PBE.

Computed properties:
The calculation puts the formation energy at 0.79 eV per atom. Its space group is P4/mmm (123).

```
LiInW2
1.0
-1.3434 2.6199 1.6303
1.5092 -0.9930 2.8395
4.6502 3.2214 -1.3450
In Li W
1 1 2
direct
0.5000 0.5000 0.2500
0.5000 0.5000 0.7500
0.0000 0.0000 0.9545
0.0000 0.0000 0.5455
```

---

A geometry-optimized LiIn2W structure, computed with GGA-PBE.

Computed properties:
The calculation puts the formation energy at 0.26 eV per atom. The value obtained for the polymorph energy (0 for the lowest one) is 0.028 eV/atom. Its space group is Cmmm (65).

```
LiIn2W
1.0
-3.7780 -1.6325 5.4397
3.1559 -3.2789 -2.2667
1.4845 -0.3281 2.5371
In Li W
2 1 1
direct
0.0000 0.0000 0.0000
0.5000 0.0000 0.5000
0.0000 0.5000 0.5000
0.5000 0.5000 0.0000
```